No. 1
# Th3GeC2 GGA-PBE optimized geometry
data_Th3GeC2
_symmetry_space_group_name_H-M 'P m m n'
_symmetry_Int_Tables_number 59
_cell_length_a 5.2755
_cell_length_b 12.8516
_cell_length_c 4.0692
_cell_angle_alpha 90.00
_cell_angle_beta 90.00
_cell_angle_gamma 90.00
loop_
_symmetry_equiv_pos_as_xyz
'x,y,z'
'-x,-y,-z'
'-x+1/2,-y+1/2,z'
'x+1/2,y+1/2,-z'
'x+1/2,-y,-z'
'-x+1/2,y,z'
'-x,y+1/2,-z'
'x,-y+1/2,z'
loop_
_atom_site_label
_atom_site_type_symbol
_atom_site_fract_x
_atom_site_fract_y
_atom_site_fract_z
Th1 Th 0.2500 0.0545 0.2389
Th2 Th 0.2500 0.7500 0.6475
Ge1 Ge 0.2500 0.2500 0.7610
C1 C 0.2500 0.5581 0.7283
# - M_tot (Bohr magnetons per cell) = 0.0
# - E_form (eV/atom) = -0.315



No. 2
# SiAg2Rh GGA-PBE optimized geometry
data_SiAg2Rh
_symmetry_space_group_name_H-M 'I m m 2'
_symmetry_Int_Tables_number 44
_symmetry_space_group_name_Hall 'I 2 -2'
_cell_length_a 3.3804
_cell_length_b 4.4928
_cell_length_c 8.4577
_cell_angle_alpha 90.00
_cell_angle_beta 90.00
_cell_angle_gamma 90.00
loop_
_atom_site_label
_atom_site_type_symbol
_atom_site_fract_x
_atom_site_fract_y
_atom_site_fract_z
Si1 Si 0.0000 0.0000 0.0000
Ag1 Ag 0.0000 0.0000 0.5274
Ag2 Ag 0.0000 0.5000 0.7404
Rh1 Rh 0.0000 0.5000 0.3148
# - M_tot (Bohr magnetons per cell) = 0.0
# - E_form (uncorrected) (eV/atom) = -0.03



No. 3
# LaAl4Ru GGA-PBE optimized geometry
data_LaAl4Ru
_symmetry_space_group_name_H-M 'F -4 3 m'
_symmetry_Int_Tables_number 216
_symmetry_space_group_name_Hall 'F -4 2 3'
_cell_length_a 7.6668
_cell_length_b 7.6668
_cell_length_c 7.6668
_cell_angle_alpha 90.00
_cell_angle_beta 90.00
_cell_angle_gamma 90.00
loop_
_atom_site_label
_atom_site_type_symbol
_atom_site_fract_x
_atom_site_fract_y
_atom_site_fract_z
La1 La 0.0000 0.0000 0.0000
Al1 Al 0.1251 0.1251 0.3749
Ru1 Ru 0.2500 0.2500 0.7500
# - M_tot (Bohr magnetons per cell) = 5.6
# - E_form (eV/atom) = -0.050



No. 4
# TaPdWC GGA-PBE optimized geometry
data_TaPdWC
_symmetry_space_group_name_H-M 'I m m 2'
_symmetry_Int_Tables_number 44
_symmetry_space_group_name_Hall 'I 2 -2'
_cell_length_a 2.9238
_cell_length_b 4.3963
_cell_length_c 8.8779
_cell_angle_alpha 90.00
_cell_angle_beta 90.00
_cell_angle_gamma 90.00
loop_
_atom_site_label
_atom_site_type_symbol
_atom_site_fract_x
_atom_site_fract_y
_atom_site_fract_z
Ta1 Ta 0.0000 0.0000 0.0000
Pd1 Pd 0.0000 0.0000 0.3303
W1 W 0.0000 0.0000 0.6631
C1 C 0.0000 0.5000 0.3260
# - M_tot (Bohr magnetons per cell) = 0.0
# - E_form (eV/atom) = -0.042